No. 1
# NdDy2Er

A relaxed NdDy2Er crystal (PBE, Alexandria via LeMat-Bulk).

Properties
DOS(E_F): 6.3 states/eV/f.u.
VASP energy: -4.619 eV per atom
E_form: 6 kJ/mol of formula units

Unit cell a=5.679 b=7.286 c=6.292 alpha=90.00 beta=90.00 gamma=90.00
Sites, in units of the cell vectors:
Nd 0.250 0.250 0.166
Nd 0.750 0.750 0.834
Dy 0.250 0.001 0.665
Dy 0.250 0.499 0.665
Dy 0.750 0.501 0.335
Dy 0.750 0.999 0.335
Er 0.250 0.750 0.168
Er 0.750 0.250 0.832

No. 2
# Ba3SbTe4

A relaxed Ba3SbTe4 crystal (PBE, Alexandria via LeMat-Bulk).

Properties
DOS(E_F): 1.8 states/eV/f.u.
Formation energy (no corrections): -1.2534 eV per atom
VASP energy: -4.061 eV per atom

Unit cell a=13.718 b=7.012 c=7.032 alpha=90.00 beta=90.00 gamma=90.00
Sites, in units of the cell vectors:
Ba 0.000 0.247 0.000
Ba 0.248 0.751 0.001
Ba 0.252 0.249 0.501
Ba 0.500 0.753 0.500
Ba 0.748 0.249 0.501
Ba 0.752 0.751 0.001
Sb 0.000 0.772 0.499
Sb 0.500 0.228 0.999
Te 0.000 0.194 0.500
Te 0.000 0.749 0.998
Te 0.234 0.749 0.501
Te 0.266 0.251 0.001
Te 0.500 0.251 0.498
Te 0.500 0.806 0.000
Te 0.734 0.251 0.001
Te 0.766 0.749 0.501

No. 3
# Cu2Pd6Rh

A relaxed Cu2Pd6Rh crystal (PBE, Alexandria via LeMat-Bulk).

Properties
DOS(E_F): 15.4 states/eV/f.u.
VASP energy: -5.003 eV per atom
E_form: 161 kJ/mol of formula units

Unit cell a=5.077 b=5.077 c=6.200 alpha=99.07 beta=99.07 gamma=62.39
Sites, in units of the cell vectors:
Cu 0.162 0.162 0.221
Cu 0.838 0.838 0.779
Pd 0.148 0.641 0.145
Pd 0.334 0.334 0.612
Pd 0.359 0.852 0.855
Pd 0.641 0.148 0.145
Pd 0.666 0.666 0.388
Pd 0.852 0.359 0.855
Rh 0.000 0.000 0.500

What are the magnetic moment values for these records? In order: 0.0; 0.0; 0.1 μB/cell.